Crystalline CsBe4As3 at its relaxed geometry, computed with PBE-GGA.

```
CsBe4As3
1.0
3.817 0.000 0.000
0.000 3.817 0.000
0.000 0.000 10.467
Cs Be As
1 4 3
direct
0.000 0.000 0.500
0.000 0.500 0.140
0.000 0.500 0.860
0.500 0.000 0.860
0.500 0.000 0.140
0.000 0.000 0.000
0.500 0.500 0.258
0.500 0.500 0.742
```

Properties
Energy relative to the elements in kJ/mol of formula units: -189